No. 1
Density functional theory data (GGA-PBE) for a relaxed structure of CeHoEr4.

Structure (extended XYZ):
```
12
Lattice="17.045 0.000 0.000 0.000 3.536 0.000 -0.721 0.000 6.077" Properties=species:S:1:pos:R:3 pbc="T T T"
Ce 0.000 0.000 0.000
Ce 8.523 1.768 0.000
Ho -0.360 1.768 3.038
Ho 8.162 0.000 3.038
Er 2.190 1.768 5.415
Er 2.575 0.000 2.352
Er 5.227 1.768 3.724
Er 5.612 0.000 0.662
Er 10.712 0.000 5.415
Er 11.098 1.768 2.352
Er 13.750 0.000 3.724
Er 14.135 1.768 0.662
```

Calculated values
energy of formation: 0.021 eV per atom
relative energy among the computed polymorphs: 0.0 meV per atom

No. 2
Density functional theory data (GGA-PBE) for a relaxed structure of ZrTi4In4.

Structure (extended XYZ):
```
18
Lattice="6.089 0.000 0.000 0.000 6.089 0.000 0.000 0.000 10.323" Properties=species:S:1:pos:R:3 pbc="T T T"
Zr 1.522 4.567 2.581
Zr 4.567 1.522 7.742
Ti 0.160 1.522 1.987
Ti 1.522 0.160 7.149
Ti 1.522 2.885 7.149
Ti 2.885 1.522 1.987
Ti 3.204 4.567 8.336
Ti 4.567 3.204 3.174
Ti 4.567 5.929 3.174
Ti 5.929 4.567 8.336
In 0.078 1.522 4.931
In 1.522 0.078 10.092
In 1.522 2.967 10.092
In 2.967 1.522 4.931
In 3.122 4.567 5.392
In 4.567 3.122 0.231
In 4.567 6.012 0.231
In 6.012 4.567 5.392
```

Calculated values
energy of formation: 0.084 eV per atom

No. 3
Density functional theory data (GGA-PBE) for a relaxed structure of Mg2ScHIr.

Structure (extended XYZ):
```
5
Lattice="4.028 0.000 0.000 0.000 4.028 0.000 0.000 0.000 4.503" Properties=species:S:1:pos:R:3 pbc="T T T"
Mg 0.000 2.014 0.000
Mg 2.014 0.000 0.000
Sc 0.000 0.000 2.252
H 0.000 0.000 0.000
Ir 2.014 2.014 2.252
```

Calculated values
final energy: -4.7124 eV/atom

No. 4
Density functional theory data (GGA-PBE) for a relaxed structure of Dy7PtBr12.

Structure (extended XYZ):
```
20
Lattice="7.462 4.308 3.369 -7.462 4.308 3.369 0.000 -8.617 3.369" Properties=species:S:1:pos:R:3 pbc="T T T"
Dy 0.000 0.000 0.000
Dy -2.134 -0.565 3.503
Dy 1.556 -1.565 3.503
Dy 0.578 2.130 3.503
Dy -0.578 -2.131 6.603
Dy -1.556 1.565 6.603
Dy 2.134 0.565 6.603
Pt 0.000 0.000 5.053
Br -0.602 -2.298 1.593
Br -1.689 1.670 1.593
Br -2.930 -2.953 4.964
Br -4.022 1.061 5.142
Br 2.291 0.628 1.593
Br 1.092 -4.014 5.142
Br -1.092 4.014 4.964
Br -2.291 -0.628 8.513
Br 4.022 -1.061 4.964
Br 2.930 2.953 5.142
Br 1.689 -1.670 8.513
Br 0.602 2.298 8.513
```

Calculated values
formation energy (no corrections): -1.631 eV per atom

No. 5
Density functional theory data (GGA-PBE) for a relaxed structure of Pu2ZnCl8.

Structure (extended XYZ):
```
11
Lattice="6.467 -3.215 0.000 6.467 3.215 0.000 -3.750 0.000 9.578" Properties=species:S:1:pos:R:3 pbc="T T T"
Pu -0.016 0.000 3.811
Pu 9.200 0.000 5.767
Zn 0.000 0.000 0.000
Cl -1.083 0.000 6.334
Cl 2.365 1.605 7.916
Cl 6.819 1.605 1.662
Cl 2.471 0.000 4.810
Cl 6.713 0.000 4.768
Cl 2.365 -1.605 7.916
Cl 6.819 -1.605 1.662
Cl 10.267 0.000 3.245
```

Calculated values
formation energy (no corrections): -1.567 eV per atom

No. 6
Density functional theory data (GGA-PBE) for a relaxed structure of Mg3CdCu.

Structure (extended XYZ):
```
15
Lattice="6.636 0.000 0.000 0.000 6.636 0.000 0.000 0.000 6.636" Properties=species:S:1:pos:R:3 pbc="T T T"
Mg 0.000 0.000 0.000
Mg 1.811 1.811 1.811
Mg 1.811 1.811 4.825
Mg 1.811 4.825 1.811
Mg 1.811 4.825 4.825
Mg 4.825 1.811 1.811
Mg 4.825 1.811 4.825
Mg 4.825 4.825 1.811
Mg 4.825 4.825 4.825
Cd 0.000 0.000 3.318
Cd 0.000 3.318 0.000
Cd 3.318 0.000 0.000
Cu 0.000 3.318 3.318
Cu 3.318 0.000 3.318
Cu 3.318 3.318 0.000
```

Calculated values
energy of formation: -0.068 eV per atom
relative energy among the computed polymorphs: 0.0 meV per atom

No. 7
Density functional theory data (GGA-PBE) for a relaxed structure of SeF.

Structure (extended XYZ):
```
12
Lattice="10.029 0.000 0.000 -5.015 8.686 0.000 0.000 0.000 2.763" Properties=species:S:1:pos:R:3 pbc="T T T"
Se -2.651 7.199 0.691
Se 0.106 2.790 0.691
Se 2.469 1.303 2.072
Se 2.545 7.383 0.691
Se 4.909 5.896 2.072
Se 7.666 1.487 2.072
F -1.018 4.205 0.691
F -0.865 7.465 0.691
F 3.133 2.984 2.072
F 1.882 5.702 0.691
F 5.879 1.221 2.072
F 6.032 4.481 2.072
```

Calculated values
relative energy among the computed polymorphs: 388.4 meV per atom
formation energy (no corrections): -0.676 eV per atom

No. 8
Density functional theory data (GGA-PBE) for a relaxed structure of TcHBr2Cl.

Structure (extended XYZ):
```
5
Lattice="5.208 0.000 0.000 0.000 5.208 0.000 0.000 0.000 4.876" Properties=species:S:1:pos:R:3 pbc="T T T"
Tc 0.000 0.000 0.000
H 2.604 2.604 2.438
Br 0.000 2.604 0.000
Br 2.604 0.000 0.000
Cl 0.000 0.000 2.438
```

Calculated values
final energy: -3.4515 eV/atom

No. 9
Density functional theory data (GGA-PBE) for a relaxed structure of LiAgSnI4.

Structure (extended XYZ):
```
14
Lattice="-4.463 4.513 6.408 4.463 -4.513 6.408 4.463 4.513 -6.408" Properties=species:S:1:pos:R:3 pbc="T T T"
Li -2.232 2.256 3.204
Li 2.232 2.256 3.204
Ag 4.463 2.256 -1.835
Ag 0.000 2.256 8.243
Sn 0.000 0.000 0.000
Sn 0.000 4.513 0.000
I 2.276 2.256 0.112
I 6.651 2.256 0.112
I 0.000 0.212 3.187
I 4.463 0.212 3.222
I 0.000 4.300 3.187
I 4.463 4.300 3.222
I -2.188 2.256 6.296
I 2.188 2.256 6.296
```

Calculated values
formation energy (no corrections): -0.615 eV per atom

No. 10
Density functional theory data (GGA-PBE) for a relaxed structure of MgPaCdCu.

Structure (extended XYZ):
```
16
Lattice="6.976 0.000 0.000 0.000 6.976 0.000 0.000 0.000 6.976" Properties=species:S:1:pos:R:3 pbc="T T T"
Mg 0.000 0.000 0.000
Mg 0.000 3.488 3.488
Mg 3.488 0.000 3.488
Mg 3.488 3.488 0.000
Pa 0.000 0.000 3.488
Pa 0.000 3.488 0.000
Pa 3.488 0.000 0.000
Pa 3.488 3.488 3.488
Cd 1.744 1.744 5.232
Cd 1.744 5.232 1.744
Cd 5.232 1.744 1.744
Cd 5.232 5.232 5.232
Cu 1.744 1.744 1.744
Cu 1.744 5.232 5.232
Cu 5.232 1.744 5.232
Cu 5.232 5.232 1.744
```

Calculated values
energy of formation: 0.140 eV per atom

No. 11
Density functional theory data (GGA-PBE) for a relaxed structure of ErScAl3.

Structure (extended XYZ):
```
10
Lattice="1.664 -13.653 0.000 1.664 13.653 0.000 0.000 0.000 4.484" Properties=species:S:1:pos:R:3 pbc="T T T"
Er 1.664 7.856 3.363
Er 1.664 -7.856 1.121
Sc 1.664 11.730 1.121
Sc 1.664 -11.730 3.363
Al 1.664 4.581 3.363
Al 1.664 3.192 1.121
Al 1.664 0.634 1.121
Al 1.664 -0.634 3.363
Al 1.664 -3.192 3.363
Al 1.664 -4.581 1.121
```

Calculated values
energy of formation: -0.415 eV per atom

No. 12
Density functional theory data (GGA-PBE) for a relaxed structure of Tl2SeCl.

Structure (extended XYZ):
```
4
Lattice="4.007 0.000 0.000 0.000 4.562 0.000 0.000 0.000 6.586" Properties=species:S:1:pos:R:3 pbc="T T T"
Tl 0.000 0.000 0.000
Tl 0.000 2.281 3.293
Se 2.004 0.000 3.293
Cl 2.004 2.281 0.000
```

Calculated values
relative energy among the computed polymorphs: 100.7 meV per atom
formation energy (no corrections): -0.481 eV per atom